1.
{
  "formula": "LiScOs",
  "functional": "GGA-PBE",
  "state": "relaxed",
  "formation_enthalpy_0k_ev_per_atom": 0.49,
  "sg": "F-43m (216)",
  "de_polymorph_ev_per_atom": 0.500,
  "m_tot_mub_per_fu": 0.00,
  "lattice_angstrom": [[-2.504, 2.881, 2.025], [-0.175, 0.054, 4.317], [1.798, 3.260, 2.195]],
  "species": ["Sc", "Li", "Os"],
  "fractional_positions": [[0.000, 0.000, 0.000], [0.500, 0.500, 0.500], [0.250, 0.250, 0.250]]
}

2.
{
  "formula": "Li2ScOs",
  "functional": "GGA-PBE",
  "state": "relaxed",
  "formation_enthalpy_0k_ev_per_atom": 0.23,
  "sg": "Fm-3m (225)",
  "de_polymorph_ev_per_atom": 0.194,
  "m_tot_mub_per_fu": 0.00,
  "lattice_angstrom": [[0.000, 3.074, 3.074], [3.074, 0.000, 3.074], [3.074, 3.074, 0.000]],
  "species": ["Li", "Li", "Sc", "Os"],
  "fractional_positions": [[0.250, 0.250, 0.250], [0.750, 0.750, 0.750], [0.000, 0.000, 0.000], [0.500, 0.500, 0.500]]
}